Entry 1:
A plane-wave DFT calculation with PBE-GGA was carried out for Rb2NaIn12Ag3 after structural relaxation.

abc: 8.958 8.958 8.958
angles: 69.75 69.75 69.75
Fractional positions:
In  0.150  0.641  0.150
In  0.999  0.665  0.665
In  0.850  0.850  0.359
In  0.665  0.999  0.665
In  0.150  0.150  0.641
In  0.641  0.150  0.150
In  0.335  0.335  0.001
In  0.850  0.359  0.850
In  0.335  0.001  0.335
In  0.359  0.850  0.850
In  0.665  0.665  0.999
In  0.001  0.335  0.335
Rb  0.584  0.584  0.584
Rb  0.416  0.416  0.416
Na  0.000  0.000  0.000
Ag  0.000  0.500  0.000
Ag  0.000  0.000  0.500
Ag  0.500  0.000  0.000

Calculated values
Density (g cm⁻³): 5.1
VASP energy (eV per atom): -2.305
ΔE_f (meV per atom): 177


Entry 2:
A plane-wave DFT calculation with PBE-GGA was carried out for NpIn2PbS4 after structural relaxation.

abc: 4.104 7.680 7.207
angles: 72.14 90.00 90.00
Fractional positions:
S  0.000  0.283  0.272
S  0.000  0.717  0.728
S  0.500  0.295  0.711
S  0.500  0.705  0.289
Np  0.000  0.500  0.500
In  0.500  0.000  0.500
In  0.000  0.000  0.000
Pb  0.500  0.500  0.000

Calculated values
ΔE_f (raw) (eV per atom): -0.6890
Density (g cm⁻³): 6.2
VASP energy (eV per atom): -5.519


Entry 3:
A plane-wave DFT calculation with PBE-GGA was carried out for PtPb2Br after structural relaxation.

abc: 8.477 8.477 8.477
angles: 154.32 154.20 36.72
Fractional positions:
Pt  0.547  0.547  0.000
Pb  0.680  0.180  0.500
Pb  0.974  0.974  0.000
Br  0.299  0.799  0.500

Calculated values
ΔE_f (raw) (eV per atom): -0.2541
Density (g cm⁻³): 10.0
VASP energy (eV per atom): -4.037
Polymorph energy (0 for the lowest one) (meV/atom): 129.8


Entry 4:
A plane-wave DFT calculation with PBE-GGA was carried out for Sm8HoTl2 after structural relaxation.

abc: 6.199 10.067 10.067
angles: 39.18 64.65 64.65
Fractional positions:
Sm  0.661  0.875  0.875
Sm  0.729  0.510  0.510
Sm  0.782  0.915  0.434
Sm  0.782  0.434  0.915
Sm  0.271  0.490  0.490
Sm  0.218  0.566  0.085
Sm  0.218  0.085  0.566
Sm  0.339  0.125  0.125
Ho  0.000  0.000  0.000
Tl  0.252  0.677  0.677
Tl  0.748  0.323  0.323

Calculated values
Density (g cm⁻³): 8.3
VASP energy (eV per atom): -4.315
ΔE_f (meV per atom): -37
Polymorph energy (0 for the lowest one) (meV/atom): 65.0